## TlPd3 (SCAN)

Data for a PBEsol-optimized structure of TlPd3.

Cell lengths 4.005, 4.005, 4.005 Å; angles 90.00, 90.00, 90.00 degrees
Sites, in units of the cell vectors:
Tl (0.000, 0.000, 0.000)
Pd (0.000, 0.500, 0.500)
Pd (0.500, 0.000, 0.500)
Pd (0.500, 0.500, 0.000)

Properties
Its crystal system is cubic. Its energy of formation is -0.18 eV per atom. As for the density of states at the Fermi level: 4.03 states/eV/cell.